A plane-wave DFT calculation with GGA-PBE was carried out for a geometry-optimized CsSr3Bi structure.

## Properties
The formation energy comes out at 0.806 eV/atom. The value obtained for the magnetization is 1.94 μB per formula unit. The distance to the lowest polymorph of the same formula is 1050 meV/atom. As for the final energy: -1.15 eV per atom. As for the density of states at the Fermi level: 6.29 states/eV per cell. As for the crystal system: cubic.

```
data_CsSr3Bi
_chemical_formula_sum 'Cs1 Sr3 Bi1'
_space_group_name_H-M_alt 'P m -3 m'
_space_group_IT_number 221
_space_group_name_Hall '-P 4 2 3'
_cell_length_a 6.1712
_cell_length_b 6.1712
_cell_length_c 6.1712
_cell_angle_alpha 90.00
_cell_angle_beta 90.00
_cell_angle_gamma 90.00
loop_
_atom_site_label
_atom_site_type_symbol
_atom_site_fract_x
_atom_site_fract_y
_atom_site_fract_z
Cs1 Cs 0.0000 0.0000 0.0000
Sr1 Sr 0.0000 0.0000 0.5000
Bi1 Bi 0.5000 0.5000 0.5000
```